# 1
Entry from Alexandria via LeMat-Bulk: an optimized crystal structure of CeTmGaNi (PBE-GGA).

Cell and atoms, written as POSCAR:
```
CeTmGaNi
1.0
0.000 3.499 3.499
3.499 0.000 3.499
3.499 3.499 0.000
Ce Tm Ga Ni
1 1 1 1
direct
0.000 0.000 0.000 Ce
0.500 0.500 0.500 Tm
0.750 0.750 0.750 Ga
0.250 0.250 0.250 Ni
```

Summary:
- E_form: -377.5 meV/atom
- Magnetic moment: 0.257 μB per formula unit


# 2
Entry from Alexandria via LeMat-Bulk: an optimized crystal structure of Ac2GaBiPd6 (PBE-GGA).

Cell and atoms, written as POSCAR:
```
Ac2GaBiPd6
1.0
6.120 -2.824 0.000
6.120 2.824 0.000
-5.992 0.000 6.589
Ac Ga Bi Pd
2 1 1 6
direct
0.244 0.244 0.267 Ac
0.756 0.756 0.733 Ac
0.500 0.500 0.000 Ga
0.000 0.000 0.500 Bi
0.249 0.742 0.760 Pd
0.255 0.255 0.920 Pd
0.258 0.751 0.240 Pd
0.742 0.249 0.760 Pd
0.745 0.745 0.080 Pd
0.751 0.258 0.240 Pd
```

Summary:
- E_form: -670.5 meV/atom
- Magnetic moment: 0.000 μB per formula unit


# 3
Entry from Alexandria via LeMat-Bulk: an optimized crystal structure of Rb3Ag2GeBr6 (PBE-GGA).

Cell and atoms, written as POSCAR:
```
Rb3Ag2GeBr6
1.0
8.196 0.000 0.000
-4.098 7.098 0.000
0.000 0.000 8.536
Rb Ag Ge Br
3 2 1 6
direct
0.000 0.000 0.000 Rb
0.333 0.667 0.617 Rb
0.667 0.333 0.383 Rb
0.333 0.667 0.164 Ag
0.667 0.333 0.836 Ag
0.000 0.000 0.500 Ge
0.161 0.322 0.302 Br
0.161 0.839 0.302 Br
0.322 0.161 0.698 Br
0.678 0.839 0.302 Br
0.839 0.161 0.698 Br
0.839 0.678 0.698 Br
```

Summary:
- Energy relative to the elements, uncorrected: -0.86 eV/atom
- Magnetic moment: 0.000 μB per formula unit


# 4
Entry from Alexandria via LeMat-Bulk: an optimized crystal structure of Y11In9Pt4 (PBE-GGA).

Cell and atoms, written as POSCAR:
```
Y11In9Pt4
1.0
7.344 -11.040 0.000
7.344 11.040 0.000
0.000 0.000 3.679
Y In Pt
11 9 4
direct
0.000 0.000 0.000 Y
0.073 0.414 0.000 Y
0.161 0.839 0.000 Y
0.308 0.308 0.000 Y
0.373 0.627 0.000 Y
0.414 0.073 0.000 Y
0.586 0.927 0.000 Y
0.627 0.373 0.000 Y
0.692 0.692 0.000 Y
0.839 0.161 0.000 Y
0.927 0.586 0.000 Y
0.072 0.215 0.500 In
0.156 0.633 0.500 In
0.215 0.072 0.500 In
0.367 0.844 0.500 In
0.500 0.500 0.500 In
0.633 0.156 0.500 In
0.785 0.928 0.500 In
0.844 0.367 0.500 In
0.928 0.785 0.500 In
0.246 0.449 0.500 Pt
0.449 0.246 0.500 Pt
0.551 0.754 0.500 Pt
0.754 0.551 0.500 Pt
```

Summary:
- E_form: -807.4 meV/atom
- Magnetic moment: 0.000 μB per formula unit


# 5
Entry from Alexandria via LeMat-Bulk: an optimized crystal structure of Pr4GaO7 (PBE-GGA).

Cell and atoms, written as POSCAR:
```
Pr4GaO7
1.0
6.717 -2.033 0.000
6.717 2.033 0.000
-6.536 0.000 6.874
Pr Ga O
4 1 7
direct
0.086 0.086 0.395 Pr
0.251 0.251 0.160 Pr
0.749 0.749 0.840 Pr
0.914 0.914 0.605 Pr
0.500 0.500 0.000 Ga
0.000 0.000 0.000 O
0.131 0.131 0.690 O
0.297 0.297 0.446 O
0.404 0.404 0.105 O
0.596 0.596 0.895 O
0.703 0.703 0.554 O
0.869 0.869 0.310 O
```

Summary:
- Energy relative to the elements, uncorrected: -2.87 eV/atom
- Magnetic moment: 0.000 μB per formula unit


# 6
Entry from Alexandria via LeMat-Bulk: an optimized crystal structure of SrPmCuBi (PBE-GGA).

Cell and atoms, written as POSCAR:
```
SrPmCuBi
1.0
0.000 3.872 3.872
3.872 0.000 3.872
3.872 3.872 0.000
Sr Pm Cu Bi
1 1 1 1
direct
0.000 0.000 0.000 Sr
0.500 0.500 0.500 Pm
0.250 0.250 0.250 Cu
0.750 0.750 0.750 Bi
```

Summary:
- E_form: -332.0 meV/atom
- Magnetic moment: 0.001 μB per formula unit


# 7
Entry from Alexandria via LeMat-Bulk: an optimized crystal structure of Si2WCl (PBE-GGA).

Cell and atoms, written as POSCAR:
```
Si2WCl
1.0
3.617 -3.435 0.000
3.617 3.435 0.000
-0.749 0.000 2.648
Si W Cl
2 1 1
direct
0.000 0.500 0.000 Si
0.500 0.000 0.000 Si
0.000 0.000 0.500 W
0.500 0.500 0.500 Cl
```

Summary:
- Energy relative to the elements, uncorrected: 0.47 eV/atom
- Relative energy among the computed polymorphs: 241 meV per atom
- Magnetic moment: 0.000 μB per formula unit


# 8
Entry from Alexandria via LeMat-Bulk: an optimized crystal structure of La2TbTlN (PBE-GGA).

Cell and atoms, written as POSCAR:
```
La2TbTlN
1.0
5.128 0.000 0.000
0.000 5.128 0.000
0.000 0.000 4.907
La Tb Tl N
2 1 1 1
direct
0.000 0.500 0.000 La
0.500 0.000 0.000 La
0.000 0.000 0.500 Tb
0.500 0.500 0.500 Tl
0.000 0.000 0.000 N
```

Summary:
- Energy relative to the elements, uncorrected: -0.85 eV/atom
- Magnetic moment: 0.000 μB per formula unit